Crystalline MgCdPO at its relaxed geometry, computed with PBE.

Results
- Volume: 18.78 A^3/atom
- Relative energy among the computed polymorphs: 585 meV/atom

abc: 4.313 4.313 8.077
angles: 90.00 90.00 90.00
Space group P4/nmm (No. 129, origin choice 2)
Unique sites:
Mg 0.250 0.750 0.000 x2
Cd 0.250 0.250 0.425 x2
P 0.250 0.250 0.834 x2
O 0.250 0.750 0.500 x2


Crystalline MgCdPO at its relaxed geometry, computed with PBE.

Results
- Volume: 18.14 A^3/atom
- Relative energy among the computed polymorphs: 6 meV/atom

abc: 3.149 7.105 6.486
angles: 90.00 90.00 90.00
Space group Pmc2_1 (No. 26)
Unique sites:
Mg 0.000 0.219 0.000 x2
Cd 0.500 0.358 0.569 x2
P 0.000 0.124 0.379 x2
O 0.500 0.359 0.917 x2


Crystalline MgCdPO at its relaxed geometry, computed with PBE.

Results
- Volume: 18.00 A^3/atom
- Relative energy among the computed polymorphs: 7 meV/atom

abc: 3.227 7.182 6.216
angles: 90.00 90.00 90.00
Space group Pmc2_1 (No. 26)
Unique sites:
Mg 0.000 0.095 0.000 x2
Cd 0.500 0.323 0.406 x2
P 0.500 0.335 0.822 x2
O 0.000 0.117 0.309 x2


Crystalline MgCdPO at its relaxed geometry, computed with PBE.

Results
- Volume: 18.70 A^3/atom
- Relative energy among the computed polymorphs: 0 meV/atom

abc: 4.083 4.083 8.975
angles: 90.00 90.00 90.00
Space group P4/nmm (No. 129, origin choice 2)
Unique sites:
Mg 0.250 0.250 0.005 x2
Cd 0.250 0.750 0.500 x2
P 0.250 0.250 0.314 x2
O 0.250 0.750 0.000 x2


Crystalline MgCdPO at its relaxed geometry, computed with PBE.

Results
- Volume: 21.29 A^3/atom
- Relative energy among the computed polymorphs: 481 meV/atom

abc: 4.375 4.375 8.897
angles: 90.00 90.00 90.00
Space group P4/nmm (No. 129, origin choice 2)
Unique sites:
Mg 0.250 0.750 0.000 x2
Cd 0.250 0.250 0.432 x2
P 0.250 0.250 0.143 x2
O 0.250 0.750 0.500 x2


Crystalline Mg2CdSO6 at its relaxed geometry, computed with PBE.

Results
- Volume: 11.82 A^3/atom
- E_tot: -5.668 eV/atom

abc: 6.452 6.597 6.640
angles: 74.17 61.27 88.89
Space group P-1 (No. 2)
Unique sites:
Mg 0.169 0.216 0.003 x2
Mg 0.314 0.631 0.554 x2
Cd 0.158 0.170 0.513 x2
S 0.313 0.720 0.032 x2
O 0.066 0.815 0.657 x2
O 0.156 0.889 0.024 x2
O 0.240 0.605 0.284 x2
O 0.282 0.571 0.914 x2
O 0.333 0.316 0.648 x2
O 0.437 0.177 0.099 x2


Crystalline MgCd2TeO6 at its relaxed geometry, computed with PBE.

Results
- Volume: 11.49 A^3/atom
- E_tot: -5.062 eV/atom

abc: 5.393 5.507 9.424
angles: 90.00 124.82 90.00
Space group P2_1/c (No. 14)
Unique sites:
Mg 0.000 0.000 0.000 x2
Cd 0.237 0.043 0.748 x4
Te 0.500 0.000 0.500 x2
O 0.159 0.196 0.450 x4
O 0.253 0.711 0.442 x4
O 0.362 0.040 0.260 x4


Crystalline MgCdOs2 at its relaxed geometry, computed with PBE.

Results
- Volume: 15.90 A^3/atom
- E_tot: -5.777 eV/atom

abc: 6.337 6.337 6.337
angles: 90.00 90.00 90.00
Space group F-43m (No. 216)
Unique sites:
Mg 0.000 0.000 0.000 x4
Cd 0.250 0.250 0.250 x4
Os 0.000 0.000 0.500 x4
Os 0.250 0.250 0.750 x4